Computed, not measured: crystalline CaZn3Bi at its relaxed geometry at the PBE-GGA level of DFT.

Its density of states at the Fermi level is 4.101 states/eV/cell. The offset from the most stable computed form is 0.0 meV/atom. For the formation energy, the calculation gives 0.394 eV/atom.

It has space group Pm-3m (No. 221), with a = 5.421 Å, b = 5.421 Å, c = 5.421 Å, α = 90.00°, β = 90.00° and γ = 90.00°. The inequivalent atoms are Ca at (0.000, 0.000, 0.000), Zn at (0.000, 0.500, 0.500) and Bi at (0.500, 0.500, 0.500).

Computed, not measured: crystalline Tm8Sb2Pt at its relaxed geometry at the PBE-GGA level of DFT.

Its density of states at the Fermi level is 21.981 states/eV/cell. The uncorrected formation energy is -6.4 eV/f.u.

It has space group C2/m (No. 12), with a = 18.425 Å, b = 4.572 Å, c = 7.261 Å, α = 90.00°, β = 95.63° and γ = 90.00°. The inequivalent atoms are Tm at (0.003, 0.000, 0.231), Tm at (0.096, 0.500, 0.524), Tm at (0.147, 0.500, 0.043), Tm at (0.214, 0.000, 0.354), Sb at (0.181, 0.000, 0.776) and Pt at (0.000, 0.500, 0.000).

Computed, not measured: crystalline LiInHPd2 at its relaxed geometry at the PBE-GGA level of DFT.

Its density of states at the Fermi level is 1.149 states/eV/cell. The offset from the most stable computed form is 244.8 meV/atom.

It has space group P4/mmm (No. 123), with a = 4.033 Å, b = 4.033 Å, c = 4.184 Å, α = 90.00°, β = 90.00° and γ = 90.00°. The inequivalent atoms are Li at (0.000, 0.000, 0.000), In at (0.500, 0.500, 0.000), H at (0.500, 0.500, 0.500) and Pd at (0.000, 0.500, 0.500).

Computed, not measured: crystalline TbMn10Cr2 at its relaxed geometry at the PBE-GGA level of DFT.

Its density of states at the Fermi level is 58.699 states/eV/cell. For the formation energy, the calculation gives 0.034 eV/atom.

It has space group Cmcm (No. 63), with a = 8.380 Å, b = 9.517 Å, c = 8.057 Å, α = 90.00°, β = 90.00° and γ = 90.00°. The inequivalent atoms are Tb at (0.000, 0.119, 0.250), Mn at (0.000, 0.175, 0.607), Mn at (0.000, 0.398, 0.071), Mn at (0.133, 0.392, 0.750), Mn at (0.230, 0.000, 0.000), Mn at (0.249, 0.373, 0.250) and Cr at (0.250, 0.250, 0.000).